Record 1
First-principles (PBE) data for a relaxed structure of CoNi2Br, as listed in the Alexandria database.

a = 2.946 Å, b = 4.276 Å, c = 8.427 Å
α = 90.00°, β = 90.00°, γ = 90.00°
Fractional positions:
Co 0.000 0.000 0.000
Co 0.500 0.500 0.500
Ni 0.000 0.500 0.245
Ni 0.000 0.500 0.755
Ni 0.500 0.000 0.255
Ni 0.500 0.000 0.745
Br 0.000 0.000 0.500
Br 0.500 0.500 0.000

Energy relative to the elements, uncorrected in eV/atom: 0.675
VASP energy in eV per formula unit: -17.6
E above lowest polymorph in meV/atom: 287.7
Magnetic moment in μB/f.u.: 2.55
Symmetry: No. 71


Record 2
First-principles (PBE) data for a relaxed structure of CdIn2Ni, as listed in the Alexandria database.

a = 3.157 Å, b = 3.157 Å, c = 8.364 Å
α = 90.00°, β = 90.00°, γ = 90.00°
Fractional positions:
Cd 0.000 0.000 0.000
In 0.000 0.000 0.619
In 0.500 0.500 0.304
Ni 0.500 0.500 0.802

VASP energy in eV per formula unit: -12.0
Magnetic moment in μB/f.u.: 0.00
Symmetry: No. 99
Energy relative to the elements in eV/f.u.: 0.182


Record 3
First-principles (PBE) data for a relaxed structure of Al2SiBr, as listed in the Alexandria database.

a = 5.963 Å, b = 5.963 Å, c = 12.202 Å
α = 90.00°, β = 90.00°, γ = 90.00°
Fractional positions:
Al 0.192 0.250 0.125
Al 0.250 0.692 0.375
Al 0.250 0.808 0.875
Al 0.308 0.250 0.625
Al 0.692 0.750 0.625
Al 0.750 0.192 0.875
Al 0.750 0.308 0.375
Al 0.808 0.750 0.125
Si 0.000 0.000 0.000
Si 0.000 0.500 0.250
Si 0.500 0.000 0.750
Si 0.500 0.500 0.500
Br 0.000 0.000 0.500
Br 0.000 0.500 0.750
Br 0.500 0.000 0.250
Br 0.500 0.500 0.000

Energy relative to the elements, uncorrected in eV/atom: 0.147
VASP energy in eV per formula unit: -14.0
E above lowest polymorph in meV/atom: 183.1
Magnetic moment in μB/f.u.: 0.00
Symmetry: No. 122


Record 4
First-principles (PBE) data for a relaxed structure of Ac2Tm3Pb4, as listed in the Alexandria database.

a = 9.596 Å, b = 9.596 Å, c = 9.106 Å
α = 90.00°, β = 90.00°, γ = 135.73°
Fractional positions:
Ac 0.111 0.889 0.912
Ac 0.389 0.611 0.412
Ac 0.611 0.389 0.588
Ac 0.889 0.111 0.088
Tm 0.000 0.000 0.500
Tm 0.041 0.459 0.750
Tm 0.459 0.041 0.250
Tm 0.500 0.500 0.000
Tm 0.541 0.959 0.750
Tm 0.959 0.541 0.250
Pb 0.187 0.813 0.551
Pb 0.212 0.288 0.750
Pb 0.288 0.212 0.250
Pb 0.313 0.687 0.051
Pb 0.687 0.313 0.949
Pb 0.712 0.788 0.750
Pb 0.788 0.712 0.250
Pb 0.813 0.187 0.449

VASP energy in eV per formula unit: -40.9
E above lowest polymorph in meV/atom: 75.4
Magnetic moment in μB/f.u.: 0.00
Symmetry: No. 64
Energy relative to the elements in eV/f.u.: -4.401


Record 5
First-principles (PBE) data for a relaxed structure of SrRePb, as listed in the Alexandria database.

a = 3.646 Å, b = 3.646 Å, c = 11.627 Å
α = 90.00°, β = 90.00°, γ = 90.00°
Fractional positions:
Sr 0.000 0.000 0.000
Sr 0.500 0.500 0.500
Re 0.000 0.000 0.313
Re 0.500 0.500 0.813
Pb 0.000 0.000 0.712
Pb 0.500 0.500 0.212

VASP energy in eV per formula unit: -15.7
E above lowest polymorph in meV/atom: 0.0
Magnetic moment in μB/f.u.: 0.84
Symmetry: No. 107
Energy relative to the elements in eV/f.u.: 2.127


Record 6
First-principles (PBE) data for a relaxed structure of Ca2Ni3Ge4Pt, as listed in the Alexandria database.

a = 4.124 Å, b = 4.124 Å, c = 10.078 Å
α = 90.00°, β = 90.00°, γ = 90.00°
Fractional positions:
Ca 0.000 0.500 0.244
Ca 0.500 0.000 0.756
Ni 0.000 0.500 0.874
Ni 0.500 0.000 0.126
Ni 0.500 0.500 0.500
Ge 0.000 0.000 0.000
Ge 0.000 0.500 0.639
Ge 0.500 0.000 0.361
Ge 0.500 0.500 0.000
Pt 0.000 0.000 0.500

VASP energy in eV per formula unit: -51.8
Magnetic moment in μB/f.u.: 0.00
Symmetry: No. 115
Energy relative to the elements in eV/f.u.: -5.982


Record 7
First-principles (PBE) data for a relaxed structure of CsRb2CrCl6, as listed in the Alexandria database.

a = 7.690 Å, b = 7.973 Å, c = 13.242 Å
α = 90.00°, β = 124.12°, γ = 90.00°
Fractional positions:
Cs 0.000 0.000 0.000
Cs 0.000 0.500 0.500
Rb 0.277 0.068 0.754
Rb 0.277 0.432 0.254
Rb 0.723 0.568 0.746
Rb 0.723 0.932 0.246
Cr 0.500 0.000 0.500
Cr 0.500 0.500 0.000
Cl 0.190 0.039 0.301
Cl 0.190 0.461 0.801
Cl 0.307 0.663 0.055
Cl 0.307 0.837 0.555
Cl 0.418 0.249 0.566
Cl 0.418 0.251 0.066
Cl 0.582 0.749 0.934
Cl 0.582 0.751 0.434
Cl 0.693 0.163 0.445
Cl 0.693 0.337 0.945
Cl 0.810 0.539 0.199
Cl 0.810 0.961 0.699

Energy relative to the elements, uncorrected in eV/atom: -1.641
VASP energy in eV per formula unit: -39.9
Magnetic moment in μB/f.u.: 3.00
Symmetry: No. 14


Record 8
First-principles (PBE) data for a relaxed structure of Ho5Sc4Ir4, as listed in the Alexandria database.

a = 8.509 Å, b = 8.509 Å, c = 8.509 Å
α = 93.67°, β = 93.67°, γ = 150.69°
Fractional positions:
Ho 0.000 0.000 0.000
Ho 0.309 0.372 0.681
Ho 0.372 0.691 0.064
Ho 0.628 0.309 0.936
Ho 0.691 0.628 0.319
Sc 0.108 0.595 0.703
Sc 0.405 0.108 0.512
Sc 0.595 0.892 0.488
Sc 0.892 0.405 0.297
Ir 0.075 0.253 0.328
Ir 0.253 0.925 0.178
Ir 0.747 0.075 0.822
Ir 0.925 0.747 0.672

VASP energy in eV per formula unit: -92.6
Magnetic moment in μB/f.u.: 0.00
Symmetry: No. 87
Energy relative to the elements in eV/f.u.: -8.931


Record 9
First-principles (PBE) data for a relaxed structure of Li2GaNi2, as listed in the Alexandria database.

a = 5.949 Å, b = 5.949 Å, c = 3.987 Å
α = 90.00°, β = 90.00°, γ = 90.00°
Fractional positions:
Li 0.167 0.333 0.000
Li 0.333 0.833 0.000
Li 0.667 0.167 0.000
Li 0.833 0.667 0.000
Ga 0.000 0.000 0.500
Ga 0.500 0.500 0.500
Ni 0.136 0.636 0.500
Ni 0.364 0.136 0.500
Ni 0.636 0.864 0.500
Ni 0.864 0.364 0.500

VASP energy in eV per formula unit: -19.1
E above lowest polymorph in meV/atom: 80.5
Magnetic moment in μB/f.u.: 0.00
Symmetry: No. 127
Energy relative to the elements in eV/f.u.: -0.725


Record 10
First-principles (PBE) data for a relaxed structure of HoPuAsS, as listed in the Alexandria database.

a = 4.048 Å, b = 4.048 Å, c = 19.556 Å
α = 90.00°, β = 90.00°, γ = 120.00°
Fractional positions:
Ho 0.000 0.000 0.000
Ho 0.333 0.667 0.667
Ho 0.667 0.333 0.333
Pu 0.000 0.000 0.504
Pu 0.333 0.667 0.171
Pu 0.667 0.333 0.838
As 0.000 0.000 0.751
As 0.333 0.667 0.418
As 0.667 0.333 0.084
S 0.000 0.000 0.253
S 0.333 0.667 0.919
S 0.667 0.333 0.586

Energy relative to the elements, uncorrected in eV/atom: -1.606
VASP energy in eV per formula unit: -34.1
Magnetic moment in μB/f.u.: 5.49
Symmetry: No. 160


Record 11
First-principles (PBE) data for a relaxed structure of PS2IBr, as listed in the Alexandria database.

a = 5.018 Å, b = 5.018 Å, c = 5.721 Å
α = 90.00°, β = 90.00°, γ = 90.00°
Fractional positions:
P 0.000 0.000 0.000
S 0.000 0.500 0.500
S 0.500 0.000 0.500
I 0.000 0.000 0.500
Br 0.500 0.500 0.000

Energy relative to the elements, uncorrected in eV/atom: 1.224
VASP energy in eV per formula unit: -10.8
E above lowest polymorph in meV/atom: 0.0
Magnetic moment in μB/f.u.: 1.12
Symmetry: No. 123


Record 12
First-principles (PBE) data for a relaxed structure of YTm2Cd2In2, as listed in the Alexandria database.

a = 9.281 Å, b = 9.281 Å, c = 9.281 Å
α = 30.77°, β = 30.77°, γ = 30.77°
Fractional positions:
Y 0.000 0.000 0.000
Tm 0.129 0.129 0.129
Tm 0.871 0.871 0.871
Cd 0.398 0.398 0.398
Cd 0.602 0.602 0.602
In 0.257 0.257 0.257
In 0.743 0.743 0.743

VASP energy in eV per formula unit: -24.4
Magnetic moment in μB/f.u.: 0.00
Symmetry: No. 166
Energy relative to the elements in eV/f.u.: -1.639